Record 1
A relaxed structure of Ca2La2Te. Source: Alexandria via LeMat-Bulk, functional PBE.

The density of states at the Fermi level is 9.20 states/eV per cell. The calculation puts the volume at 200.20 Å³/f.u. The total energy is -37.65 eV per cell.

Structure (CIF):
```
data_Ca2La2Te
_chemical_formula_sum 'Ca4 La4 Te2'
_cell_length_a 8.171
_cell_length_b 8.171
_cell_length_c 5.997
_cell_angle_alpha 90.00
_cell_angle_beta 90.00
_cell_angle_gamma 90.00
_symmetry_space_group_name_H-M 'P 4/m b m'
_symmetry_Int_Tables_number 127
_symmetry_space_group_name_Hall '-P 4 2ab'
loop_
_atom_site_label
_atom_site_type_symbol
_atom_site_fract_x
_atom_site_fract_y
_atom_site_fract_z
Ca1 Ca 0.159 0.341 0.000
La1 La 0.141 0.641 0.500
Te1 Te 0.000 0.000 0.500
```

---

Record 2
A relaxed structure of Pu2BeCo3. Source: Alexandria via LeMat-Bulk, functional PBE.

The density of states at the Fermi level is 42.53 states/eV per cell. Its calculated formation energy is -146 meV/atom. The calculation puts the volume at 84.83 Å³/f.u.

Structure (CIF):
```
data_Pu2BeCo3
_chemical_formula_sum 'Pu6 Be3 Co9'
_cell_length_a 5.1449
_cell_length_b 5.1449
_cell_length_c 11.1023
_cell_angle_alpha 90.00
_cell_angle_beta 90.00
_cell_angle_gamma 120.00
_symmetry_space_group_name_H-M 'R -3 m'
_symmetry_Int_Tables_number 166
_symmetry_space_group_name_Hall '-R 3 2"'
loop_
_atom_site_label
_atom_site_type_symbol
_atom_site_fract_x
_atom_site_fract_y
_atom_site_fract_z
Pu1 Pu 0.0000 0.0000 0.1278
Be1 Be 0.0000 0.0000 0.5000
Co1 Co 0.0000 0.5000 0.0000
```

---

Record 3
A relaxed structure of Sr2MgBe. Source: Alexandria via LeMat-Bulk, functional PBE.

The density of states at the Fermi level is 6.68 states/eV per cell. Its calculated formation energy is 253 meV/atom. The calculation puts the volume at 135.89 Å³/f.u. As for the energy above the most stable polymorph in this dataset: 6 meV per atom.

Structure (CIF):
```
data_Sr2MgBe
_chemical_formula_sum 'Sr4 Mg2 Be2'
_cell_length_a 4.675
_cell_length_b 4.853
_cell_length_c 11.977
_cell_angle_alpha 90.00
_cell_angle_beta 90.00
_cell_angle_gamma 90.00
_symmetry_space_group_name_H-M 'A m m 2'
_symmetry_Int_Tables_number 38
loop_
_symmetry_equiv_pos_as_xyz
'x,y,z'
'-x,-y,z'
'-x,y,z'
'x,-y,z'
'x,y+1/2,z+1/2'
'-x,-y+1/2,z+1/2'
'-x,y+1/2,z+1/2'
'x,-y+1/2,z+1/2'
loop_
_atom_site_label
_atom_site_type_symbol
_atom_site_fract_x
_atom_site_fract_y
_atom_site_fract_z
Sr1 Sr 0.000 0.000 0.000
Sr2 Sr 0.500 0.000 0.290
Mg1 Mg 0.500 0.000 0.595
Be1 Be 0.000 0.000 0.700
```